Below is crystalline Pr4Ga3Os at its relaxed geometry, with properties calculated at the PBE-GGA level.

CIF file:
```
data_Pr4Ga3Os
_chemical_formula_sum 'Pr4 Ga3 Os1'
_cell_length_a 4.318
_cell_length_b 4.350
_cell_length_c 11.087
_cell_angle_alpha 90.00
_cell_angle_beta 90.00
_cell_angle_gamma 90.00
_symmetry_space_group_name_H-M 'P m m 2'
_symmetry_Int_Tables_number 25
loop_
_symmetry_equiv_pos_as_xyz
'x,y,z'
'-x,-y,z'
'-x,y,z'
'x,-y,z'
loop_
_atom_site_label
_atom_site_fract_x
_atom_site_fract_y
_atom_site_fract_z
Pr1 0.000 0.000 0.000
Pr2 0.000 0.500 0.477
Pr3 0.500 0.000 0.702
Pr4 0.500 0.500 0.205
Ga1 0.000 0.500 0.776
Ga2 0.500 0.000 0.410
Ga3 0.500 0.500 0.917
Os1 0.000 0.000 0.281
```

Output
**Calculated volume**: 208 Å³ per cell
**Formation energy**: -0.427 eV per atom
**E**: -42.848 eV per cell
**Density of states at the Fermi level**: 0.90 states/eV/atom